VASP calculation (GGA+U) on a geometry-optimized KCoF4 structure.

Properties
* spin magnetization: 2.08 μB/cell
* energy relative to the lowest polymorph listed for this composition: 112 meV per atom
* space group: No. 2
* final energy: -4.4742 eV per atom

abc: 5.2321 5.1805 7.1886
angles: 111.61 111.07 90.77
Site moments in Bohr magnetons follow the coordinates.
Positions (direct):
K  0.7650  0.7519  0.0032  0.00
K  0.2350  0.2481  0.9968  0.00
Co  0.5000  0.0000  0.5000  1.91
Co  0.0000  0.5000  0.5000  0.11
F  0.5817  0.1292  0.7898  -0.04
F  0.7848  0.3785  0.2096  0.01
F  0.4183  0.8708  0.2102  -0.04
F  0.2152  0.6215  0.7904  0.01
F  0.8567  0.8391  0.5668  0.04
F  0.2821  0.6542  0.4381  0.01
F  0.1433  0.1609  0.4332  0.04
F  0.7179  0.3458  0.5619  0.01